# 1
The following is a PBE calculation of a geometry-optimized AcScHgPd structure, from Alexandria.

```
AcScHgPd
1.0
0.000 3.717 3.717
3.717 0.000 3.717
3.717 3.717 0.000
Ac Sc Hg Pd
1 1 1 1
Cartesian
0.000 0.000 0.000
3.717 3.717 3.717
5.576 5.576 5.576
1.859 1.859 1.859
```

For the formation energy, the calculation gives -0.4453 eV/atom. The calculated total energy is -17.7 eV/cell. The space group is F-43m, No. 216.

# 2
The following is a PBE calculation of a geometry-optimized Ac3Si2HgPd9 structure, from Alexandria.

```
Ac3Si2HgPd9
1.0
6.115 0.000 0.000
-3.058 5.296 0.000
0.000 0.000 10.589
Ac Si Hg Pd
3 2 1 9
Cartesian
0.000 0.000 0.000
0.000 3.531 7.454
3.058 1.765 3.134
0.000 3.531 1.663
3.058 1.765 8.926
0.000 0.000 5.294
-1.529 2.648 0.000
0.000 1.633 3.033
-1.643 4.480 3.033
1.414 0.817 7.555
3.058 0.000 0.000
1.529 2.648 0.000
1.643 4.480 3.033
4.701 0.817 7.555
3.058 3.663 7.555
```

As for the uncorrected formation energy: -0.6594 eV per atom. The calculated total energy is -80.1 eV/cell. The space group is P-3m1, No. 164.

# 3
The following is a PBE calculation of a geometry-optimized Ac2SiHg2Pd4 structure, from Alexandria.

```
Ac2SiHg2Pd4
1.0
-3.398 3.398 4.442
3.398 -3.398 4.442
3.398 3.398 -4.442
Ac Si Hg Pd
2 1 2 4
Cartesian
3.398 0.000 2.221
0.000 3.398 2.221
0.000 0.000 0.000
0.000 0.000 2.858
0.000 0.000 6.026
1.678 1.678 0.000
1.720 -1.720 4.442
-1.720 1.720 4.442
1.720 1.720 4.442
```

As for the uncorrected formation energy: -0.5881 eV per atom. The calculated total energy is -40.3 eV/cell. The space group is I4/mmm, No. 139.

# 4
The following is a PBE calculation of a geometry-optimized AcSnHgPd3 structure, from Alexandria.

```
AcSnHgPd3
1.0
3.255 -6.294 0.000
3.255 6.294 0.000
0.000 0.000 6.939
Ac Sn Hg Pd
2 2 2 6
Cartesian
3.255 4.053 5.204
3.255 -4.053 1.735
3.255 4.663 1.735
3.255 -4.663 5.204
3.255 0.873 5.204
3.255 -0.873 1.735
1.392 0.000 0.000
1.392 0.000 3.470
3.255 2.014 1.735
3.255 -2.014 5.204
5.119 0.000 0.000
5.119 0.000 3.470
```

For the formation energy, the calculation gives -0.4628 eV/atom. The calculated total energy is -53.5 eV/cell. The space group is Cmcm, No. 63.